Entry 1:
This record from the Alexandria database describes crystalline RbZr4S8 at its relaxed geometry. The functional is PBE-GGA.

Summary:
Its crystal system is trigonal. The calculation puts the density of states at the Fermi level at 3.8 states/eV/cell. The calculation puts the calculated volume at 389 Å³/cell. The uncorrected formation energy is -1.5887 eV/atom. The total energy is -88.83 eV for the cell shown.

Cell and atoms, written as POSCAR:
```
RbZr4S8
1.0
6.673 0.000 3.043
2.643 6.127 3.043
-0.234 -0.154 9.350
Rb Zr S
1 4 8
Direct
0.500 0.500 0.500
0.000 0.500 0.000
0.500 0.500 0.000
0.500 0.000 0.000
0.000 0.000 0.000
0.728 0.226 0.821
0.774 0.272 0.179
0.272 0.774 0.179
0.774 0.774 0.179
0.726 0.726 0.822
0.274 0.274 0.178
0.226 0.226 0.821
0.226 0.728 0.821
```

---

Entry 2:
This record from the Alexandria database describes crystalline Rb3ZrS3 at its relaxed geometry. The functional is PBE-GGA.

Summary:
Its crystal system is monoclinic. The calculation puts the density of states at the Fermi level at 3.3 states/eV/cell. The calculation puts the calculated volume at 994 Å³/cell. The uncorrected formation energy is -1.2845 eV/atom. The total energy is -131.30 eV for the cell shown.

Cell and atoms, written as POSCAR:
```
Rb3ZrS3
1.0
-1.049 6.019 -5.463
-9.165 -1.378 0.241
0.158 8.841 9.710
Rb Zr S
12 4 12
Direct
0.873 0.947 0.855
0.627 0.947 0.355
0.206 0.660 0.701
0.708 0.618 0.571
0.294 0.660 0.201
0.792 0.618 0.071
0.208 0.382 0.929
0.706 0.340 0.799
0.292 0.382 0.429
0.794 0.340 0.299
0.373 0.053 0.645
0.127 0.053 0.145
0.424 0.846 0.942
0.076 0.846 0.442
0.924 0.154 0.558
0.576 0.154 0.058
0.941 0.900 0.613
0.559 0.900 0.113
0.149 0.751 0.969
0.351 0.751 0.469
0.582 0.676 0.830
0.918 0.676 0.330
0.082 0.324 0.670
0.418 0.324 0.170
0.649 0.249 0.531
0.851 0.249 0.031
0.441 0.100 0.887
0.059 0.100 0.387
```

---

Entry 3:
This record from the Alexandria database describes crystalline Rb5Zr2S6 at its relaxed geometry. The functional is PBE-GGA.

Summary:
Its crystal system is monoclinic. The calculation puts the calculated volume at 982 Å³/cell. The uncorrected formation energy is -1.3757 eV/atom. The total energy is -129.17 eV for the cell shown.

Cell and atoms, written as POSCAR:
```
Rb5Zr2S6
1.0
7.882 0.155 1.052
3.165 7.220 1.052
0.724 0.484 17.544
Rb Zr S
10 4 12
Direct
0.687 0.212 0.999
0.788 0.313 0.501
0.313 0.788 0.001
0.212 0.687 0.499
0.735 0.951 0.724
0.049 0.265 0.776
0.265 0.049 0.276
0.951 0.735 0.224
0.357 0.643 0.750
0.643 0.357 0.250
0.354 0.099 0.573
0.901 0.646 0.927
0.646 0.901 0.427
0.099 0.354 0.073
0.092 0.024 0.627
0.976 0.908 0.873
0.908 0.976 0.373
0.024 0.092 0.127
0.389 0.320 0.641
0.680 0.611 0.859
0.611 0.680 0.359
0.320 0.389 0.141
0.645 0.798 0.571
0.202 0.355 0.929
0.355 0.202 0.429
0.798 0.645 0.071
```

---

Question: Which value of calculated volume does entry 2 give?
Answer: 994 Å³/cell

---

Question: Among the records above, which one has the lowest calculated volume?
Answer: RbZr4S8